1.
VASP calculation (PBE) on a relaxed structure of ZnAgSO. Values from VASP.

Offset from the most stable computed form = 0.1745 eV/atom
Space group = Pbca, No. 61
V = 15.59 A^3/atom

```
&SYSTEM
  ibrav = 0, nat = 32, ntyp = 4
/
ATOMIC_SPECIES
Ag 107.87 Ag.upf
S 32.06 S.upf
Zn 65.41 Zn.upf
O 16.00 O.upf
CELL_PARAMETERS angstrom
7.047 0.000 0.000
0.000 10.248 0.000
0.000 0.000 6.910
ATOMIC_POSITIONS crystal
Ag 0.003 0.242 0.245
Ag 0.497 0.742 0.245
Ag 0.997 0.758 0.755
Ag 0.003 0.258 0.745
Ag 0.997 0.742 0.255
Ag 0.503 0.258 0.755
Ag 0.503 0.242 0.255
Ag 0.497 0.758 0.745
S 0.462 0.489 0.249
S 0.962 0.011 0.751
S 0.462 0.011 0.749
S 0.038 0.989 0.249
S 0.038 0.511 0.749
S 0.538 0.511 0.751
S 0.962 0.489 0.251
S 0.538 0.989 0.251
Zn 0.241 0.550 0.489
Zn 0.259 0.050 0.489
Zn 0.241 0.950 0.989
Zn 0.741 0.950 0.511
Zn 0.259 0.450 0.989
Zn 0.759 0.050 0.011
Zn 0.741 0.550 0.011
Zn 0.759 0.450 0.511
O 0.751 0.738 0.071
O 0.749 0.238 0.071
O 0.749 0.262 0.571
O 0.251 0.762 0.929
O 0.249 0.262 0.929
O 0.251 0.738 0.429
O 0.751 0.762 0.571
O 0.249 0.238 0.429
```


2.
VASP calculation (PBE) on a relaxed structure of ZnAgSO. Values from VASP.

Offset from the most stable computed form = 0.1665 eV/atom
Space group = Pca2_1, No. 29
V = 15.97 A^3/atom

```
&SYSTEM
  ibrav = 0, nat = 16, ntyp = 4
/
ATOMIC_SPECIES
O 16.00 O.upf
Ag 107.87 Ag.upf
S 32.06 S.upf
Zn 65.41 Zn.upf
CELL_PARAMETERS angstrom
-4.402 1.150 -3.878
-4.780 -0.273 5.345
0.707 5.841 0.930
ATOMIC_POSITIONS crystal
O 0.513 0.101 0.632
O 0.987 0.101 0.132
O 0.013 0.899 0.632
O 0.487 0.899 0.132
Ag 0.766 0.894 0.894
Ag 0.234 0.106 0.394
Ag 0.266 0.106 0.894
Ag 0.734 0.894 0.394
S 0.500 0.355 0.169
S 0.500 0.645 0.669
S 0.000 0.355 0.669
S 0.000 0.645 0.169
Zn 0.375 0.649 0.055
Zn 0.875 0.351 0.055
Zn 0.625 0.351 0.555
Zn 0.125 0.649 0.555
```


3.
VASP calculation (PBE) on a relaxed structure of ZnAgSO. Values from VASP.

Offset from the most stable computed form = 0.4573 eV/atom
Space group = P4/nmm, No. 129
V = 16.71 A^3/atom

```
&SYSTEM
  ibrav = 0, nat = 8, ntyp = 4
/
ATOMIC_SPECIES
Zn 65.41 Zn.upf
S 32.06 S.upf
O 16.00 O.upf
Ag 107.87 Ag.upf
CELL_PARAMETERS angstrom
-0.584 1.195 3.514
0.664 -3.466 1.289
9.204 2.070 0.827
ATOMIC_POSITIONS crystal
Zn 0.750 0.750 0.677
Zn 0.250 0.250 0.323
S 0.250 0.750 0.500
S 0.750 0.250 0.500
O 0.750 0.750 0.869
O 0.250 0.250 0.131
Ag 0.750 0.750 0.117
Ag 0.250 0.250 0.883
```


- The highest offset from the most stable computed form belongs to which entry?
  number 3